# GGA-PBEsol OsSI3, relaxed
# calculated volume = 30.69 Å³ per atom
# crystal system = cubic
# ρ = 6.5 g cm⁻³
# E_form (uncorrected) = 1641 meV per atom
data_OsSI3
_chemical_formula_sum 'Os1 S1 I3'
_space_group_name_H-M_alt 'P 1'
_space_group_IT_number 1
_cell_length_a 5.3538
_cell_length_b 5.3538
_cell_length_c 5.3538
_cell_angle_alpha 90.00
_cell_angle_beta 90.00
_cell_angle_gamma 90.00
loop_
_space_group_symop_operation_xyz
'x,y,z'
loop_
_atom_site_label
_atom_site_type_symbol
_atom_site_fract_x
_atom_site_fract_y
_atom_site_fract_z
_atom_site_occupancy
I1 I 0.0000 0.5000 0.0000 1
I2 I 0.0000 0.0000 0.5000 1
I3 I 0.5000 0.0000 0.0000 1
S1 S 0.0000 0.0000 0.0000 1
Os1 Os 0.5000 0.5000 0.5000 1

***

# GGA-PBEsol YTlPb, relaxed
# formation energy from the elements = -0.251 eV/atom
# calculated volume = 27.27 Å³ per atom
# energy above the lowest structure with this stoichiometry = 0.000 eV/atom
# crystal system = orthorhombic
# ρ = 10.2 g cm⁻³
data_YTlPb
_chemical_formula_sum 'Y1 Tl1 Pb1'
_space_group_name_H-M_alt 'P 1'
_space_group_IT_number 1
_cell_length_a 3.8052
_cell_length_b 3.8052
_cell_length_c 6.2434
_cell_angle_alpha 104.29
_cell_angle_beta 104.29
_cell_angle_gamma 100.96
loop_
_space_group_symop_operation_xyz
'x,y,z'
loop_
_atom_site_label
_atom_site_type_symbol
_atom_site_fract_x
_atom_site_fract_y
_atom_site_fract_z
_atom_site_occupancy
Pb1 Pb 0.9961 0.9961 0.9922 1
Tl1 Tl 0.3349 0.3349 0.6698 1
Y1 Y 0.6690 0.6690 0.3380 1

***

# GGA-PBEsol Be2ReRu2, relaxed
# formation energy from the elements = -0.187 eV/atom
# calculated volume = 11.13 Å³ per atom
# crystal system = tetragonal
# ρ = 12.1 g cm⁻³
data_Be2ReRu2
_chemical_formula_sum 'Be4 Re2 Ru4'
_space_group_name_H-M_alt 'P 1'
_space_group_IT_number 1
_cell_length_a 2.8373
_cell_length_b 6.2640
_cell_length_c 6.2640
_cell_angle_alpha 90.00
_cell_angle_beta 90.00
_cell_angle_gamma 90.00
loop_
_space_group_symop_operation_xyz
'x,y,z'
loop_
_atom_site_label
_atom_site_type_symbol
_atom_site_fract_x
_atom_site_fract_y
_atom_site_fract_z
_atom_site_occupancy
Re1 Re 0.0000 0.0000 0.0000 1
Re2 Re 0.0000 0.5000 0.5000 1
Be1 Be 0.0000 0.3723 0.8723 1
Be2 Be 0.0000 0.8723 0.6277 1
Be3 Be 0.0000 0.6277 0.1277 1
Be4 Be 0.0000 0.1277 0.3723 1
Ru1 Ru 0.5000 0.1643 0.6643 1
Ru2 Ru 0.5000 0.6643 0.8357 1
Ru3 Ru 0.5000 0.8357 0.3357 1
Ru4 Ru 0.5000 0.3357 0.1643 1

***

# GGA-PBEsol CsH2SNO3, relaxed
# energy = -182.906 eV/cell
# calculated volume = 14.69 Å³ per atom
# crystal system = orthorhombic
# ρ = 3.2 g cm⁻³
data_CsH2SNO3
_chemical_formula_sum 'Cs4 H8 S4 N4 O12'
_space_group_name_H-M_alt 'P 1'
_space_group_IT_number 1
_cell_length_a 6.6836
_cell_length_b 8.1854
_cell_length_c 8.5903
_cell_angle_alpha 90.00
_cell_angle_beta 90.00
_cell_angle_gamma 90.00
loop_
_space_group_symop_operation_xyz
'x,y,z'
loop_
_atom_site_label
_atom_site_type_symbol
_atom_site_fract_x
_atom_site_fract_y
_atom_site_fract_z
_atom_site_occupancy
Cs1 Cs 0.7500 0.9232 0.3794 1
Cs2 Cs 0.7500 0.5768 0.8794 1
Cs3 Cs 0.2500 0.0768 0.6206 1
Cs4 Cs 0.2500 0.4232 0.1206 1
H1 H 0.1225 0.0817 0.9792 1
H2 H 0.3775 0.4183 0.4792 1
H3 H 0.6225 0.9183 0.0208 1
H4 H 0.8775 0.5817 0.5208 1
H5 H 0.8775 0.9183 0.0208 1
H6 H 0.6225 0.5817 0.5208 1
H7 H 0.3775 0.0817 0.9792 1
H8 H 0.1225 0.4183 0.4792 1
S1 S 0.2500 0.8814 0.1356 1
S2 S 0.2500 0.6186 0.6356 1
S3 S 0.7500 0.1186 0.8644 1
S4 S 0.7500 0.3814 0.3644 1
N1 N 0.2500 0.0098 0.9882 1
N2 N 0.2500 0.4902 0.4882 1
N3 N 0.7500 0.9902 0.0118 1
N4 N 0.7500 0.5098 0.5118 1
O1 O 0.2500 0.9700 0.2839 1
O2 O 0.2500 0.5300 0.7839 1
O3 O 0.7500 0.0300 0.7161 1
O4 O 0.7500 0.4700 0.2161 1
O5 O 0.4338 0.7847 0.1135 1
O6 O 0.0662 0.7153 0.6135 1
O7 O 0.9338 0.2153 0.8865 1
O8 O 0.5662 0.2847 0.3865 1
O9 O 0.5662 0.2153 0.8865 1
O10 O 0.9338 0.2847 0.3865 1
O11 O 0.0662 0.7847 0.1135 1
O12 O 0.4338 0.7153 0.6135 1

***

# GGA-PBEsol Ru2SeO, relaxed
# calculated volume = 12.03 Å³ per atom
# crystal system = cubic
# ρ = 10.3 g cm⁻³
# E_form (uncorrected) = 194 meV per atom
data_Ru2SeO
_chemical_formula_sum 'Ru2 Se1 O1'
_space_group_name_H-M_alt 'P 1'
_space_group_IT_number 1
_cell_length_a 4.0823
_cell_length_b 4.0823
_cell_length_c 4.0823
_cell_angle_alpha 60.00
_cell_angle_beta 60.00
_cell_angle_gamma 60.00
loop_
_space_group_symop_operation_xyz
'x,y,z'
loop_
_atom_site_label
_atom_site_type_symbol
_atom_site_fract_x
_atom_site_fract_y
_atom_site_fract_z
_atom_site_occupancy
Ru1 Ru 0.2500 0.2500 0.2500 1
Ru2 Ru 0.7500 0.7500 0.7500 1
O1 O 0.0000 0.0000 0.0000 1
Se1 Se 0.5000 0.5000 0.5000 1

***

# GGA-PBEsol MnCrFe3, relaxed
# formation energy from the elements = 1.228 eV/atom
# calculated volume = 13.71 Å³ per atom
# crystal system = cubic
# ρ = 6.6 g cm⁻³
data_MnCrFe3
_chemical_formula_sum 'Mn1 Cr1 Fe3'
_space_group_name_H-M_alt 'P 1'
_space_group_IT_number 1
_cell_length_a 4.0928
_cell_length_b 4.0928
_cell_length_c 4.0928
_cell_angle_alpha 90.00
_cell_angle_beta 90.00
_cell_angle_gamma 90.00
loop_
_space_group_symop_operation_xyz
'x,y,z'
loop_
_atom_site_label
_atom_site_type_symbol
_atom_site_fract_x
_atom_site_fract_y
_atom_site_fract_z
_atom_site_occupancy
Cr1 Cr 0.0000 0.0000 0.0000 1
Mn1 Mn 0.5000 0.5000 0.5000 1
Fe1 Fe 0.0000 0.5000 0.0000 1
Fe2 Fe 0.0000 0.0000 0.5000 1
Fe3 Fe 0.5000 0.0000 0.0000 1

***

# GGA-PBEsol CaTa2Cr, relaxed
# formation energy from the elements = 0.637 eV/atom
# calculated volume = 18.85 Å³ per atom
# energy above the lowest structure with this stoichiometry = 0.103 eV/atom
# crystal system = trigonal
# ρ = 10.0 g cm⁻³
data_CaTa2Cr
_chemical_formula_sum 'Ca1 Ta2 Cr1'
_space_group_name_H-M_alt 'P 1'
_space_group_IT_number 1
_cell_length_a 3.0573
_cell_length_b 3.0573
_cell_length_c 9.4782
_cell_angle_alpha 80.72
_cell_angle_beta 80.72
_cell_angle_gamma 60.00
loop_
_space_group_symop_operation_xyz
'x,y,z'
loop_
_atom_site_label
_atom_site_type_symbol
_atom_site_fract_x
_atom_site_fract_y
_atom_site_fract_z
_atom_site_occupancy
Cr1 Cr 0.0000 0.0000 0.0000 1
Ca1 Ca 0.5000 0.5000 0.5000 1
Ta1 Ta 0.2677 0.2677 0.1970 1
Ta2 Ta 0.7323 0.7323 0.8030 1

***

# GGA-PBEsol KCu2Pd2, relaxed
# formation energy from the elements = 0.255 eV/atom
# calculated volume = 17.91 Å³ per atom
# crystal system = tetragonal
# ρ = 7.0 g cm⁻³
data_KCu2Pd2
_chemical_formula_sum 'K1 Cu2 Pd2'
_space_group_name_H-M_alt 'P 1'
_space_group_IT_number 1
_cell_length_a 4.1444
_cell_length_b 4.1444
_cell_length_c 5.9817
_cell_angle_alpha 110.27
_cell_angle_beta 110.27
_cell_angle_gamma 90.00
loop_
_space_group_symop_operation_xyz
'x,y,z'
loop_
_atom_site_label
_atom_site_type_symbol
_atom_site_fract_x
_atom_site_fract_y
_atom_site_fract_z
_atom_site_occupancy
K1 K 0.0000 0.0000 0.0000 1
Cu1 Cu 0.3852 0.3852 0.7703 1
Cu2 Cu 0.6148 0.6148 0.2297 1
Pd1 Pd 0.2500 0.7500 0.5000 1
Pd2 Pd 0.7500 0.2500 0.5000 1

***

ρ of number 3 (Be2ReRu2)? 12.1 g cm⁻³

***

What is the ρ in the second record? 10.2 g cm⁻³

***

Among the records above, which one has the lowest ρ? CsH2SNO3

***

Which value of ρ does entry 5 give? 10.3 g cm⁻³